[1]
# CuMoCl2

An optimized crystal structure of CuMoCl2 (GGA-PBE, the Alexandria database).

Properties
Its space-group type is Cmm2, No. 35. The value obtained for the density of states at the Fermi level is 4.000 states/eV per cell. The polymorph energy (0 for the lowest one) is 210 meV/atom. As for the raw formation energy: 0.096 eV per atom. As for the volume: 19.140 A^3/atom.

Unit cell a=3.078 b=3.078 c=9.017 alpha=90.00 beta=90.00 gamma=116.33
Last column: magnetic moment on the atom in μB.
Positions (direct):
Mo  0.500  0.500  0.729  0.38
Cu  0.000  0.000  0.506  0.01
Cl  0.000  0.000  0.935  0.01
Cl  0.500  0.500  0.330  0.01

***

[2]
# CuMo2Cl

An optimized crystal structure of CuMo2Cl (GGA-PBE, the Alexandria database).

Properties
Its space-group type is Pm, No. 6. The value obtained for the density of states at the Fermi level is 2.614 states/eV per cell. The polymorph energy (0 for the lowest one) is 0 meV/atom. As for the raw formation energy: 0.237 eV per atom. As for the volume: 17.956 A^3/atom.

Unit cell a=3.088 b=3.263 c=7.734 alpha=67.14 beta=90.00 gamma=90.00
Positions (direct):
Mo  0.000  0.133  0.017
Mo  0.500  0.415  0.201
Cu  0.500  0.826  0.794
Cl  0.000  0.126  0.488

***

Question: Which value of density of states at the Fermi level does entry 1 give?
Answer: 4.000 states/eV per cell

***

Question: Number 2 is which compound?
Answer: CuMo2Cl

***

Question: Look up the raw formation energy of the second one.
Answer: 0.237 eV per atom

***

Question: The lowest polymorph energy (0 for the lowest one) belongs to which entry?
Answer: CuMo2Cl